! Pm2CdAs, optimized geometry, DFT PBE; values from VASP
&SYSTEM
  ibrav = 0, nat = 4, ntyp = 3
/
ATOMIC_SPECIES
Pm 145.00 Pm.upf
Cd 112.41 Cd.upf
As 74.92 As.upf
CELL_PARAMETERS angstrom
3.846 0.000 0.000
0.000 3.846 0.000
0.000 0.000 6.997
ATOMIC_POSITIONS angstrom
Pm 0.000 0.000 1.620
Pm 0.000 0.000 5.377
Cd 1.923 1.923 3.499
As 1.923 1.923 0.000
! M_tot, μB per formula unit: 0.000
! Crystal system: tetragonal
! Calculated total energy, eV/atom: -4.51
! Density of states at the Fermi level, states/eV/cell: 3.4
! ρ, Mg/m³: 7.7
! Formation enthalpy at 0 K, eV per atom: -0.745